# 1
This record from Alexandria describes crystalline Sr2LiO2 at its relaxed geometry. The functional is PBE.

extended XYZ file:
```
5
Lattice="-2.315 2.315 6.038 2.315 -2.315 6.038 2.315 2.315 -6.038" Properties=species:S:1:pos:R:3 pbc="T T T"
Sr 0.000 0.000 2.264
Sr 0.000 0.000 9.812
Li 0.000 0.000 6.038
O 2.315 0.000 3.019
O 0.000 2.315 3.019
```

Summary:
Space group = I4/mmm (139)
Size of the total moment = 0.0 μB per cell
Energy relative to the elements, uncorrected = -1.748 eV/atom
VASP energy = -4.7867 eV/atom
Relative energy among the computed polymorphs = 206.6 meV per atom
Calculated volume = 25.9 A^3/atom

# 2
This record from Alexandria describes crystalline Sr3LiO at its relaxed geometry. The functional is PBE.

extended XYZ file:
```
5
Lattice="5.336 0.000 0.000 0.000 5.336 0.000 0.000 0.000 5.336" Properties=species:S:1:pos:R:3 pbc="T T T"
Sr 0.000 0.000 2.668
Sr 0.000 2.668 0.000
Sr 2.668 0.000 0.000
Li 2.668 2.668 2.668
O 0.000 0.000 0.000
```

Summary:
Space group = Pm-3m (221)
Size of the total moment = 0.0 μB per cell
Energy relative to the elements, uncorrected = -1.004 eV/atom
VASP energy = -3.3874 eV/atom
Relative energy among the computed polymorphs = 0.0 meV per atom
Calculated volume = 30.4 A^3/atom

Q: Which of these has the highest VASP energy?
A: Sr3LiO